Density functional theory data (PBE) for crystalline ZrTe4 at its relaxed geometry.

Cell: 5.5803 5.5803 5.5803 Å, 90.00 90.00 90.00°
Closest atoms and distances in Å follow each position.
Atoms (fractional coordinates):
Zr  0.5000  0.5000  0.5000  6 Te 2.79
Te  0.5000  0.5000  0.0000  2 Zr 2.79
Te  0.0000  0.0000  0.0000  12 Te 3.95
Te  0.5000  0.0000  0.5000  2 Zr 2.79
Te  0.0000  0.5000  0.5000  2 Zr 2.79

## Properties
E_form (uncorrected): 0.038 eV/atom
D(E_F): 7.00 states/eV/f.u.
Total magnetic moment: 0.0002 μB per atom
E: -4.18 eV per atom

Density functional theory data (PBE) for crystalline Th at its relaxed geometry.

Cell: 3.5529 3.5529 5.9532 Å, 90.00 90.00 120.00°
Closest atoms and distances in Å follow each position.
Atoms (fractional coordinates):
Th  0.3333  0.6667  0.2500  12 Th 3.55-3.61
Th  0.6667  0.3333  0.7500  12 Th 3.55-3.61

## Properties
Energy of formation from the pure elements: 0.047 eV per atom
D(E_F): 1.48 states/eV/f.u.
Total magnetic moment: 0.0000 μB per atom
E: -7.37 eV per atom
ΔE to the lowest computed polymorph: 46.6 meV per atom

Density functional theory data (PBE) for crystalline Th at its relaxed geometry.

Cell: 3.5610 3.5618 3.5618 Å, 59.97 60.01 60.01°
Closest atoms and distances in Å follow each position.
Atoms (fractional coordinates):
Th  0.0000  0.5000  0.5000  12 Th 3.56

## Properties
Energy of formation from the pure elements: 0.000 eV per atom
D(E_F): 1.05 states/eV/f.u.
Total magnetic moment: 0.0000 μB per atom
E: -7.42 eV per atom
ΔE to the lowest computed polymorph: 0.0 meV per atom

Density functional theory data (PBE) for crystalline Th at its relaxed geometry.

Cell: 3.5882 3.5882 11.6064 Å, 90.00 90.00 120.00°
Closest atoms and distances in Å follow each position.
Atoms (fractional coordinates):
Th  0.0000  0.0000  0.5000  12 Th 3.57-3.59
Th  0.3333  0.6667  0.2500  12 Th 3.57-3.59
Th  0.6667  0.3333  0.7500  12 Th 3.57-3.59
Th  0.0000  0.0000  0.0000  12 Th 3.57-3.59

## Properties
Energy of formation from the pure elements: 0.034 eV per atom
D(E_F): 1.51 states/eV/f.u.
Total magnetic moment: 0.0000 μB per atom
E: -7.39 eV per atom
ΔE to the lowest computed polymorph: 34.4 meV per atom

Density functional theory data (PBE) for crystalline Th at its relaxed geometry.

Cell: 3.4874 5.7212 5.7211 Å, 119.99 90.00 90.00°
Closest atoms and distances in Å follow each position.
Atoms (fractional coordinates):
Th  0.0000  0.0000  0.0000  14 Th 3.49-3.74
Th  0.5000  0.3333  0.6667  5 Th 3.30-3.49
Th  0.5000  0.6667  0.3333  5 Th 3.30-3.49

## Properties
Energy of formation from the pure elements: 0.150 eV per atom
D(E_F): 2.35 states/eV/f.u.
Total magnetic moment: 0.0000 μB per atom
E: -7.27 eV per atom
ΔE to the lowest computed polymorph: 150.5 meV per atom

Density functional theory data (PBE) for crystalline Th at its relaxed geometry.

Cell: 4.7645 4.7645 4.7645 Å, 97.45 97.45 137.80°
Closest atoms and distances in Å follow each position.
Atoms (fractional coordinates):
Th  0.1250  0.8750  0.7500  6 Th 3.26-3.43
Th  0.8750  0.1250  0.2500  6 Th 3.26-3.43

## Properties
Energy of formation from the pure elements: 0.565 eV per atom
D(E_F): 1.87 states/eV/f.u.
Total magnetic moment: 0.0000 μB per atom
E: -6.85 eV per atom
ΔE to the lowest computed polymorph: 565.4 meV per atom

Density functional theory data (PBE) for crystalline Th3Ti at its relaxed geometry.

Cell: 3.3505 3.3186 10.5730 Å, 90.00 90.00 90.00°
Closest atoms and distances in Å follow each position.
Atoms (fractional coordinates):
Ti  0.0000  0.0000  0.9685  6 Th 3.10-3.23, 4 Ti 3.32-3.35
Th  0.0000  0.5000  0.4657  10 Th 3.32-3.59
Th  0.5000  0.0000  0.7217  2 Ti 3.10, 4 Th 3.32-3.35
Th  0.5000  0.5000  0.1774  4 Ti 3.23, 6 Th 3.32-3.48

## Properties
Energy of formation from the pure elements: 0.370 eV per atom
D(E_F): 6.87 states/eV/f.u.
Total magnetic moment: 0.0002 μB per atom
E: -7.17 eV per atom

Density functional theory data (PBE) for crystalline Th4Ti at its relaxed geometry.

Cell: 5.4726 5.4726 5.4726 Å, 90.00 90.00 90.00°
Closest atoms and distances in Å follow each position.
Atoms (fractional coordinates):
Ti  0.5000  0.5000  0.5000  6 Th 2.74
Th  0.0000  0.5000  0.5000  2 Ti 2.74
Th  0.0000  0.0000  0.0000  12 Th 3.87
Th  0.5000  0.0000  0.5000  2 Ti 2.74
Th  0.5000  0.5000  0.0000  2 Ti 2.74

## Properties
Energy of formation from the pure elements: 0.583 eV per atom
D(E_F): 8.36 states/eV/f.u.
Total magnetic moment: 0.0000 μB per atom
E: -6.93 eV per atom

Density functional theory data (PBE) for crystalline Th3Ti at its relaxed geometry.

Cell: 4.8151 4.8151 5.9717 Å, 113.78 113.78 90.00°
Closest atoms and distances in Å follow each position.
Atoms (fractional coordinates):
Th  0.2500  0.7500  0.5000  8 Th 3.40-3.44, 4 Ti 3.44
Th  0.7500  0.2500  0.5000  8 Th 3.40-3.44, 4 Ti 3.44
Th  0.5000  0.5000  0.0000  4 Ti 3.40, 8 Th 3.44
Ti  0.0000  0.0000  0.0000  12 Th 3.40-3.44

## Properties
Energy of formation from the pure elements: 0.178 eV per atom
D(E_F): 7.46 states/eV/f.u.
Total magnetic moment: 0.0001 μB per atom
E: -7.36 eV per atom

Density functional theory data (PBE) for crystalline ThTi3 at its relaxed geometry.

Cell: 4.6223 4.6223 5.0025 Å, 117.52 117.52 90.00°
Closest atoms and distances in Å follow each position.
Atoms (fractional coordinates):
Ti  0.7500  0.2500  0.5000  4 Th 2.99, 8 Ti 2.99-3.27
Ti  0.5000  0.5000  0.0000  8 Ti 2.99, 4 Th 3.27
Ti  0.2500  0.7500  0.5000  4 Th 2.99, 8 Ti 2.99-3.27
Th  0.0000  0.0000  0.0000  12 Ti 2.99-3.27

## Properties
Energy of formation from the pure elements: 0.153 eV per atom
D(E_F): 5.72 states/eV/f.u.
Total magnetic moment: 0.0000 μB per atom
E: -7.62 eV per atom
ΔE to the lowest computed polymorph: 0.0 meV per atom

Density functional theory data (PBE) for crystalline ThTi3 at its relaxed geometry.

Cell: 3.0576 4.9048 5.5900 Å, 90.00 90.00 90.00°
Closest atoms and distances in Å follow each position.
Atoms (fractional coordinates):
Ti  0.5000  0.0000  0.5611  6 Ti 2.82-3.06
Ti  0.0000  0.0000  0.9860  8 Ti 2.82-3.06, 2 Th 3.05
Th  0.0000  0.5000  0.3099  10 Ti 3.05-3.21, 2 Th 3.06
Ti  0.5000  0.5000  0.8097  8 Ti 2.82-3.06

## Properties
Energy of formation from the pure elements: 0.230 eV per atom
D(E_F): 6.20 states/eV/f.u.
Total magnetic moment: 0.0000 μB per atom
E: -7.55 eV per atom
ΔE to the lowest computed polymorph: 76.7 meV per atom

Density functional theory data (PBE) for crystalline Th3Ti at its relaxed geometry.

Cell: 3.4926 5.7798 6.5624 Å, 116.13 105.43 90.00°
Closest atoms and distances in Å follow each position.
Atoms (fractional coordinates):
Ti  0.0000  0.9168  0.0000  8 Th 3.16-3.38, 2 Ti 3.49
Th  0.5000  0.4165  0.0000  4 Ti 3.38, 6 Th 3.47-3.49
Th  0.2659  0.6826  0.5319  2 Ti 3.16, 8 Th 3.40-3.49
Th  0.7341  0.1507  0.4681  2 Ti 3.16, 8 Th 3.40-3.49

## Properties
Energy of formation from the pure elements: 0.196 eV per atom
D(E_F): 7.18 states/eV/f.u.
Total magnetic moment: 0.0000 μB per atom
E: -7.34 eV per atom